[1]
La2DyMg3Ir2Pt (GGA-PBE, relaxed); uncorrected energy = -49.65 eV for the cell shown
1.0
-0.227 -3.972 1.030
6.779 0.435 3.169
-6.167 1.396 4.025
Dy Ir La Mg Pt
1 2 2 3 1
direct
0.000 0.590 0.590
0.500 0.662 0.338
0.500 0.338 0.662
0.000 0.420 0.001
0.000 0.001 0.420
0.500 0.248 0.248
0.500 0.994 0.757
0.500 0.757 0.994
0.000 0.991 0.991

=====

[2]
La2DyNiSn3Ir2 (GGA-PBE, relaxed); uncorrected energy = -56.67 eV for the cell shown
1.0
4.088 0.000 0.000
0.000 6.518 3.760
0.000 -6.518 3.760
Dy Ir La Ni Sn
1 2 2 1 3
direct
0.000 0.409 0.409
0.500 0.663 0.336
0.500 0.336 0.663
0.000 0.999 0.585
0.000 0.585 0.999
0.000 0.006 0.006
0.500 0.247 0.005
0.500 0.005 0.247
0.500 0.750 0.750

=====

[3]
LaDy2NiSn3Ir2 (GGA-PBE, relaxed); uncorrected energy = -56.39 eV for the cell shown
1.0
3.979 0.000 0.000
0.000 6.483 3.734
0.000 -6.483 3.734
Dy Ir La Ni Sn
2 2 1 1 3
direct
0.000 0.592 0.001
0.000 0.001 0.592
0.500 0.668 0.331
0.500 0.331 0.668
0.000 0.414 0.414
0.000 0.995 0.995
0.500 0.995 0.249
0.500 0.756 0.756
0.500 0.249 0.995